Entry 1:
Compound: CdIn3Au3
Source: the Alexandria database
Functional: PBE
Structure: relaxed

abc: 7.3752 7.3752 7.3752
angles: 68.94 68.94 68.94
Last column: nearest neighbours and their distance in Å.
Element x y z (fractional)
Cd (0.1623, 0.1623, 0.1623)  6 Au 2.87-2.89
Cd (0.8377, 0.8377, 0.8377)  6 Au 2.87-2.89
In (0.1079, 0.6863, 0.3841)  5 Au 2.78-3.07
In (0.3137, 0.6159, 0.8921)  5 Au 2.78-3.07
In (0.3841, 0.1079, 0.6863)  5 Au 2.78-3.07
In (0.6159, 0.8921, 0.3137)  5 Au 2.78-3.07
In (0.6863, 0.3841, 0.1079)  5 Au 2.78-3.07
In (0.8921, 0.3137, 0.6159)  5 Au 2.78-3.07
Au (0.0803, 0.4452, 0.7919)  5 In 2.78-3.07, 2 Cd 2.87-2.89
Au (0.2081, 0.9197, 0.5548)  5 In 2.78-3.07, 2 Cd 2.87-2.89
Au (0.4452, 0.7919, 0.0803)  5 In 2.78-3.07, 2 Cd 2.87-2.89
Au (0.5548, 0.2081, 0.9197)  5 In 2.78-3.07, 2 Cd 2.87-2.89
Au (0.7919, 0.0803, 0.4452)  5 In 2.78-3.07, 2 Cd 2.87-2.89
Au (0.9197, 0.5548, 0.2081)  5 In 2.78-3.07, 2 Cd 2.87-2.89

The value obtained for the formation enthalpy at 0 K is -0.177 eV/atom. The space-group type is No. 148. The value obtained for the density of states at the Fermi level is 0.252 states/eV per atom. The energy comes out at -2.8860 eV per atom. The total moment is 0.00 Bohr magnetons per cell. Its energy above the lowest structure with this stoichiometry is 0.00 kJ per mole of atoms.


Entry 2:
Compound: Tb3Si4Ir2
Source: the Alexandria database
Functional: PBE
Structure: relaxed

abc: 5.8445 5.8445 8.2429
angles: 101.10 101.10 40.32
Last column: nearest neighbours and their distance in Å.
Element x y z (fractional)
Tb (0.0000, 0.0000, 0.0000)  4 Ir 3.08, 8 Si 3.10-3.18
Tb (0.3312, 0.3312, 0.3408)  8 Si 3.09-3.27, 4 Ir 3.09-3.18
Tb (0.6688, 0.6688, 0.6592)  8 Si 3.09-3.27, 4 Ir 3.09-3.18
Si (0.0491, 0.0491, 0.3838)  2 Ir 2.34, 1 Si 2.38
Si (0.2762, 0.2762, 0.9352)  1 Ir 2.36, 2 Si 2.40
Si (0.7238, 0.7238, 0.0648)  1 Ir 2.36, 2 Si 2.40
Si (0.9509, 0.9509, 0.6162)  2 Ir 2.34, 1 Si 2.38
Ir (0.3929, 0.3929, 0.7241)  3 Si 2.34-2.36
Ir (0.6071, 0.6071, 0.2759)  3 Si 2.34-2.36

The energy relative to the elements, uncorrected comes out at -0.912 eV/atom. The space-group type is No. 12. The value obtained for the density of states at the Fermi level is 0.588 states/eV per atom. The energy comes out at -6.8352 eV per atom. The total moment is 0.00 Bohr magnetons per cell. Its energy above the lowest structure with this stoichiometry is 2.51 kJ per mole of atoms.


Entry 3:
Compound: BiTe2MoN
Source: the Alexandria database
Functional: PBE
Structure: relaxed

abc: 5.9159 5.9159 4.2127
angles: 90.00 90.00 90.00
Last column: nearest neighbours and their distance in Å.
Element x y z (fractional)
Bi (0.0000, 0.0000, 0.0000)  2 N 2.11
Te (0.0000, 0.5000, 0.0000)  2 Bi 2.96
Te (0.5000, 0.0000, 0.0000)  2 Bi 2.96
Mo (0.5000, 0.5000, 0.5000)  8 Te 3.63
N (0.0000, 0.0000, 0.5000)  2 Bi 2.11

The energy relative to the elements, uncorrected comes out at 1.581 eV/atom. The space-group type is No. 123. The value obtained for the density of states at the Fermi level is 0.873 states/eV per atom. The energy comes out at -4.2827 eV per atom. The total moment is 4.37 Bohr magnetons per cell. Its energy above the lowest structure with this stoichiometry is 134.85 kJ per mole of atoms.